1.
Here is TbY3Pt4 after structural relaxation from the Open Quantum Materials Database. Energies are from PBE.

Structure (POSCAR):
```
TbY3Pt4
1.0
5.582 0.000 0.000
0.000 4.512 0.000
-0.005 0.000 7.068
Pt Y Tb
4 3 1
direct
0.654 0.500 0.456
0.847 0.500 0.956
0.153 0.000 0.044
0.346 0.000 0.544
0.360 0.500 0.818
0.860 0.000 0.682
0.640 0.000 0.182
0.140 0.500 0.318
```

Values from the calculation:
* SG: Pm (6)
* total energy: -0.268 hartree per atom

---

2.
Here is GdYRe after structural relaxation from the Open Quantum Materials Database. Energies are from PBE.

Structure (POSCAR):
```
GdYRe
1.0
2.103 1.056 4.169
-1.253 -2.353 3.977
3.042 -3.108 2.002
Y Re Gd
1 1 1
direct
0.750 0.750 0.750
0.250 0.250 0.250
0.000 0.000 0.000
```

Values from the calculation:
* polymorph energy (0 for the lowest one): 0.00 eV per formula unit
* SG: F-43m (216)
* total energy: -0.245 hartree per atom

---

3.
Here is Na3TbBr6 after structural relaxation from the Open Quantum Materials Database. Energies are from PBE.

Structure (POSCAR):
```
Na3TbBr6
1.0
3.675 -6.365 0.000
3.675 6.365 0.000
0.000 0.000 13.338
Tb Na Br
2 6 12
direct
0.333 0.667 0.750
0.667 0.333 0.250
0.667 0.333 0.536
0.000 0.000 0.750
0.333 0.667 0.036
0.000 0.000 0.250
0.333 0.667 0.464
0.667 0.333 0.964
0.350 0.314 0.124
0.036 0.350 0.876
0.964 0.650 0.124
0.686 0.650 0.376
0.650 0.964 0.624
0.036 0.686 0.624
0.686 0.036 0.124
0.964 0.314 0.376
0.650 0.686 0.876
0.314 0.350 0.624
0.350 0.036 0.376
0.314 0.964 0.876
```

Values from the calculation:
* SG: P-31c (163)
* total energy: -0.130 hartree per atom

---

4.
Here is NdErGa6 after structural relaxation from the Open Quantum Materials Database. Energies are from PBE.

Structure (POSCAR):
```
NdErGa6
1.0
-3.783 4.901 1.439
-2.152 -4.694 -3.705
-1.484 -2.228 3.685
Nd Ga Er
1 6 1
direct
0.667 0.333 0.500
0.855 0.711 0.000
0.855 0.145 0.000
0.289 0.145 0.000
0.148 0.295 0.500
0.148 0.852 0.500
0.705 0.852 0.500
0.333 0.667 0.000
```

Values from the calculation:
* SG: P-6m2 (187)
* total energy: -0.146 hartree per atom

---

5.
Here is Li4ZnGa2Cu after structural relaxation from the Open Quantum Materials Database. Energies are from PBE.

Structure (POSCAR):
```
Li4ZnGa2Cu
1.0
-3.259 -2.393 1.421
0.104 -2.291 -3.620
3.939 -3.850 2.549
Li Zn Ga Cu
4 1 2 1
direct
0.500 0.000 0.743
0.000 0.000 0.500
0.500 0.500 0.000
0.000 0.500 0.257
0.000 0.000 0.000
0.000 0.500 0.736
0.500 0.000 0.264
0.500 0.500 0.500
```

Values from the calculation:
* SG: P-4m2 (115)
* total energy: -0.096 hartree per atom

---

6.
Here is ErScCd after structural relaxation from the Open Quantum Materials Database. Energies are from PBE.

Structure (POSCAR):
```
ErScCd
1.0
1.986 -3.775 -2.448
-2.773 -2.689 -3.044
0.679 0.305 -4.861
Cd Er Sc
1 1 1
direct
0.250 0.250 0.250
0.750 0.750 0.750
0.000 0.000 0.000
```

Values from the calculation:
* polymorph energy (0 for the lowest one): 0.00 eV per formula unit
* SG: F-43m (216)
* total energy: -0.127 hartree per atom

---

7.
Here is AcIn6Ag6 after structural relaxation from the Open Quantum Materials Database. Energies are from PBE.

Structure (POSCAR):
```
AcIn6Ag6
1.0
-2.926 4.931 4.986
2.926 -4.931 4.986
2.926 4.931 -4.986
Ag In Ac
6 6 1
direct
0.500 0.500 0.500
0.000 0.500 0.000
0.500 0.000 0.000
0.227 0.500 0.727
0.000 0.000 0.500
0.773 0.500 0.273
0.350 0.350 0.000
0.199 0.699 0.500
0.801 0.301 0.500
0.652 0.000 0.652
0.348 0.000 0.348
0.650 0.650 0.000
0.000 0.000 0.000
```

Values from the calculation:
* SG: Immm (71)
* total energy: -0.113 hartree per atom

---

8.
Here is SmGeW after structural relaxation from the Open Quantum Materials Database. Energies are from PBE.

Structure (POSCAR):
```
SmGeW
1.0
4.381 -0.977 0.850
1.150 -2.173 3.850
1.449 -4.329 -0.167
Ge Sm W
1 1 1
direct
0.000 0.000 0.000
0.250 0.250 0.250
0.750 0.750 0.750
```

Values from the calculation:
* polymorph energy (0 for the lowest one): 0.00 eV per formula unit
* SG: F-43m (216)
* total energy: -0.258 hartree per atom

---

9.
Here is ErCuTe3Pb after structural relaxation from the Open Quantum Materials Database. Energies are from PBE.

Structure (POSCAR):
```
ErCuTe3Pb
1.0
11.219 0.000 0.000
0.000 4.279 0.000
0.000 0.000 14.588
Pb Te Er Cu
4 12 4 4
direct
0.781 0.750 0.008
0.719 0.250 0.508
0.281 0.750 0.492
0.219 0.250 0.992
0.232 0.250 0.667
0.732 0.250 0.833
0.584 0.250 0.102
0.268 0.750 0.167
0.416 0.750 0.898
0.455 0.250 0.386
0.916 0.750 0.602
0.955 0.250 0.114
0.045 0.750 0.886
0.084 0.250 0.398
0.768 0.750 0.333
0.545 0.750 0.614
0.477 0.250 0.757
0.023 0.750 0.257
0.523 0.750 0.243
0.977 0.250 0.743
0.742 0.750 0.721
0.242 0.750 0.779
0.258 0.250 0.279
0.758 0.250 0.221
```

Values from the calculation:
* polymorph energy (0 for the lowest one): 0.00 eV per formula unit
* SG: Pnma (62)
* total energy: -0.157 hartree per atom

---

10.
Here is Gd2PPd8 after structural relaxation from the Open Quantum Materials Database. Energies are from PBE.

Structure (POSCAR):
```
Gd2PPd8
1.0
4.356 0.000 0.000
0.000 8.661 2.651
0.000 -8.661 2.651
Pd Gd P
8 2 1
direct
0.000 0.907 0.131
0.000 0.131 0.907
0.500 0.189 0.783
0.000 0.659 0.659
0.500 0.028 0.028
0.000 0.934 0.463
0.500 0.783 0.189
0.000 0.463 0.934
0.500 0.613 0.366
0.500 0.366 0.613
0.000 0.240 0.240
```

Values from the calculation:
* SG: Amm2 (38)
* total energy: -0.214 hartree per atom

---

11.
Here is Hf2GaSn2 after structural relaxation from the Open Quantum Materials Database. Energies are from PBE.

Structure (POSCAR):
```
Hf2GaSn2
1.0
1.411 -3.938 5.601
-0.849 2.222 6.573
-3.395 -0.283 -6.104
Sn Ga Hf
2 1 2
direct
0.387 0.387 0.000
0.613 0.613 0.000
0.000 0.000 0.000
0.250 0.750 0.500
0.750 0.250 0.500
```

Values from the calculation:
* SG: I4/mmm (139)
* total energy: -0.218 hartree per atom

---

12.
Here is CdPPbO after structural relaxation from the Open Quantum Materials Database. Energies are from PBE.

Structure (POSCAR):
```
CdPPbO
1.0
4.113 0.000 0.000
0.000 4.113 0.000
0.000 0.000 9.574
Cd O Pb P
2 2 2 2
direct
0.750 0.250 0.500
0.250 0.750 0.500
0.750 0.250 0.000
0.250 0.750 0.000
0.750 0.750 0.877
0.250 0.250 0.123
0.750 0.750 0.323
0.250 0.250 0.677
```

Values from the calculation:
* polymorph energy (0 for the lowest one): 0.21 eV per formula unit
* SG: P4/nmm (129)
* total energy: -0.149 hartree per atom